1.
# Cu2BPt4 PBE relaxed
data_Cu2BPt4
_cell_length_a 4.1087
_cell_length_b 4.1087
_cell_length_c 12.7207
_cell_angle_alpha 90.00
_cell_angle_beta 90.00
_cell_angle_gamma 90.00
_symmetry_space_group_name_H-M 'I 4/m m m'
_symmetry_Int_Tables_number 139
_symmetry_space_group_name_Hall '-I 4 2'
loop_
_atom_site_label
_atom_site_fract_x
_atom_site_fract_y
_atom_site_fract_z
Cu1 0.0000 0.0000 0.1384
B1 0.0000 0.0000 0.5000
Pt1 0.0000 0.0000 0.3341
Pt2 0.0000 0.5000 0.0000
# Formation energy from the elements   1.213 eV per formula unit



2.
# KSc2Rh2 PBE relaxed
data_KSc2Rh2
_cell_length_a 8.1517
_cell_length_b 8.1517
_cell_length_c 3.1030
_cell_angle_alpha 90.00
_cell_angle_beta 90.00
_cell_angle_gamma 90.00
_symmetry_space_group_name_H-M 'P 4/m b m'
_symmetry_Int_Tables_number 127
_symmetry_space_group_name_Hall '-P 4 2ab'
loop_
_atom_site_label
_atom_site_fract_x
_atom_site_fract_y
_atom_site_fract_z
K1 0.0000 0.0000 0.0000
Sc1 0.1389 0.3611 0.5000
Rh1 0.1397 0.6397 0.0000
# Formation energy from the elements   -1.897 eV per formula unit



3.
# LiHo2MgTe4 PBE relaxed
data_LiHo2MgTe4
_cell_length_a 7.3514
_cell_length_b 4.2508
_cell_length_c 7.5766
_cell_angle_alpha 90.00
_cell_angle_beta 108.68
_cell_angle_gamma 90.00
_symmetry_space_group_name_H-M 'P 1 2/m 1'
_symmetry_Int_Tables_number 10
_symmetry_space_group_name_Hall '-P 2y'
loop_
_atom_site_label
_atom_site_fract_x
_atom_site_fract_y
_atom_site_fract_z
Li1 0.0000 0.0000 0.0000
Ho1 0.0000 0.5000 0.5000
Ho2 0.5000 0.0000 0.5000
Mg1 0.5000 0.5000 0.0000
Te1 0.2487 0.5000 0.2404
Te2 0.2540 0.0000 0.7618
# ΔE_f (raw)   -1.150 eV/atom



4.
# ScTi2Os PBE relaxed
data_ScTi2Os
_cell_length_a 4.5517
_cell_length_b 4.5517
_cell_length_c 3.2002
_cell_angle_alpha 90.00
_cell_angle_beta 90.00
_cell_angle_gamma 90.00
_symmetry_space_group_name_H-M 'P 4/m m m'
_symmetry_Int_Tables_number 123
_symmetry_space_group_name_Hall '-P 4 2'
loop_
_atom_site_label
_atom_site_fract_x
_atom_site_fract_y
_atom_site_fract_z
Sc1 0.0000 0.0000 0.0000
Ti1 0.0000 0.5000 0.5000
Os1 0.5000 0.5000 0.0000
# Formation energy from the elements   -0.672 eV per formula unit



5.
# Cs2CaCoBr6 PBE relaxed
data_Cs2CaCoBr6
_cell_length_a 11.0416
_cell_length_b 11.0416
_cell_length_c 11.0416
_cell_angle_alpha 90.00
_cell_angle_beta 90.00
_cell_angle_gamma 90.00
_symmetry_space_group_name_H-M 'F m -3 m'
_symmetry_Int_Tables_number 225
_symmetry_space_group_name_Hall '-F 4 2 3'
loop_
_atom_site_label
_atom_site_fract_x
_atom_site_fract_y
_atom_site_fract_z
Cs1 0.2500 0.2500 0.2500
Ca1 0.0000 0.0000 0.0000
Co1 0.0000 0.0000 0.5000
Br1 0.0000 0.0000 0.2629
# Excess energy over the best structure of this formula in the dataset   0.038 eV per atom
# ΔE_f (raw)   -1.384 eV/atom



6.
# Sn3AsRh PBE relaxed
data_Sn3AsRh
_cell_length_a 5.0955
_cell_length_b 5.0955
_cell_length_c 5.0955
_cell_angle_alpha 90.00
_cell_angle_beta 90.00
_cell_angle_gamma 90.00
_symmetry_space_group_name_H-M 'P m -3 m'
_symmetry_Int_Tables_number 221
_symmetry_space_group_name_Hall '-P 4 2 3'
loop_
_atom_site_label
_atom_site_fract_x
_atom_site_fract_y
_atom_site_fract_z
Sn1 0.0000 0.0000 0.5000
As1 0.5000 0.5000 0.5000
Rh1 0.0000 0.0000 0.0000
# Formation energy from the elements   0.250 eV per formula unit
# Excess energy over the best structure of this formula in the dataset   0.000 eV per atom